Record 1
Density functional theory data (PBE) for crystalline CaFeNi2 at its relaxed geometry.

Cell lengths 4.402, 4.402, 4.402 Å; angles 60.00, 60.00, 60.00 degrees
Sites, in units of the cell vectors:
Ca: 0.000 0.000 0.000
Fe: 0.500 0.500 0.500
Ni: 0.250 0.250 0.250
Ni: 0.750 0.750 0.750

Its symmetry is Fm-3m. As for the crystal system: cubic.


Record 2
Density functional theory data (PBE) for crystalline ZrScGa6 at its relaxed geometry.

Cell lengths 5.832, 5.832, 4.109 Å; angles 90.00, 90.00, 90.00 degrees
Sites, in units of the cell vectors:
Zr: 0.000 0.000 0.000
Sc: 0.500 0.500 0.000
Ga: 0.000 0.500 0.000
Ga: 0.253 0.253 0.500
Ga: 0.253 0.747 0.500
Ga: 0.500 0.000 0.000
Ga: 0.747 0.253 0.500
Ga: 0.747 0.747 0.500

Its symmetry is P4/mmm. As for the crystal system: tetragonal.


Record 3
Density functional theory data (PBE) for crystalline PuScInRu at its relaxed geometry.

Cell lengths 4.933, 4.933, 4.933 Å; angles 60.00, 60.00, 60.00 degrees
Sites, in units of the cell vectors:
Pu: 0.000 0.000 0.000
Sc: 0.500 0.500 0.500
In: 0.750 0.750 0.750
Ru: 0.250 0.250 0.250

Its symmetry is F-43m. As for the crystal system: cubic.


Number 1: DFT total energy -5.22 eV per atom, DFT formation energy 1.13 eV per formula unit. Number 2: DFT total energy -4.62 eV per atom, DFT formation energy -3.95 eV per formula unit. Number 3: DFT total energy -8.30 eV per atom, DFT formation energy -0.51 eV per formula unit.